(1)
Material: Fe2Pt3Rh3
Method: DFT, PBE
State: relaxed

The value obtained for the volume is 14.36 A^3/atom. Its size of the total moment is 0.997 μB per atom. The calculation puts the energy relative to the elements at -1.34 eV per formula unit. The value obtained for the density of states at the Fermi level is 5.1 states/eV/f.u.

The structure belongs to space group Pmmm (No. 47); the cell edges are 3.8592, 3.8807 and 7.6702 Å and the angles 90.00°, 90.00° and 90.00°. The inequivalent atoms are Fe at (0.0000, 0.0000, 0.2470), Pt at (0.0000, 0.5000, 0.5000), Pt at (0.5000, 0.5000, 0.2476), Rh at (0.0000, 0.5000, 0.0000), Rh at (0.5000, 0.0000, 0.0000) and Rh at (0.5000, 0.0000, 0.5000).


(2)
Material: Fe6PtRh
Method: DFT, PBE
State: relaxed

The value obtained for the volume is 12.95 A^3/atom. Its size of the total moment is 2.261 μB per atom. The calculation puts the energy relative to the elements at -0.35 eV per formula unit. The value obtained for the density of states at the Fermi level is 4.7 states/eV/f.u. For the offset from the most stable computed form, the calculation gives 0.000 eV per atom.

The structure belongs to space group P4/mmm (No. 123); the cell edges are 5.8828, 5.8828 and 2.9939 Å and the angles 90.00°, 90.00° and 90.00°. The inequivalent atoms are Fe at (0.0000, 0.5000, 0.0000), Fe at (0.2473, 0.2473, 0.5000), Pt at (0.5000, 0.5000, 0.0000) and Rh at (0.0000, 0.0000, 0.0000).


(3)
Material: Fe2Pt2Rh
Method: DFT, PBE
State: relaxed

The value obtained for the volume is 14.20 A^3/atom. Its size of the total moment is 1.462 μB per atom. The calculation puts the energy relative to the elements at -0.77 eV per formula unit. The value obtained for the density of states at the Fermi level is 5.4 states/eV/f.u.

The structure belongs to space group C2/m (No. 12); the cell edges are 8.4852, 3.8652 and 5.9382 Å and the angles 90.00°, 133.18° and 90.00°. The inequivalent atoms are Fe at (0.0923, 0.0000, 0.2921), Pt at (0.2020, 0.5000, 0.1138) and Rh at (0.0000, 0.5000, 0.5000).


(4)
Material: FePt2Rh6
Method: DFT, PBE
State: relaxed

The value obtained for the volume is 14.30 A^3/atom. Its size of the total moment is 0.332 μB per atom. The calculation puts the energy relative to the elements at -0.50 eV per formula unit. The value obtained for the density of states at the Fermi level is 12.6 states/eV/f.u.

The structure belongs to space group P4_2/mnm (No. 136); the cell edges are 8.1851, 8.1851 and 3.8430 Å and the angles 90.00°, 90.00° and 90.00°. The inequivalent atoms are Fe at (0.0000, 0.0000, 0.0000), Pt at (0.1638, 0.1638, 0.5000), Rh at (0.0013, 0.3331, 0.0000) and Rh at (0.1647, 0.8353, 0.5000).


(5)
Material: Fe4PtRh15
Method: DFT, PBE
State: relaxed

The value obtained for the volume is 13.94 A^3/atom. Its size of the total moment is 0.694 μB per atom. The calculation puts the energy relative to the elements at -0.84 eV per formula unit. The value obtained for the density of states at the Fermi level is 25.7 states/eV/f.u.

The structure belongs to space group P4/mmm (No. 123); the cell edges are 3.8296, 3.8296 and 19.0053 Å and the angles 90.00°, 90.00° and 90.00°. The inequivalent atoms are Fe at (0.0000, 0.0000, 0.0995), Fe at (0.0000, 0.0000, 0.2985), Pt at (0.0000, 0.0000, 0.5000), Rh at (0.0000, 0.5000, 0.0000), Rh at (0.0000, 0.5000, 0.1990), Rh at (0.0000, 0.5000, 0.3965), Rh at (0.5000, 0.5000, 0.0995), Rh at (0.5000, 0.5000, 0.2981) and Rh at (0.5000, 0.5000, 0.5000).


(6)
Material: FePt3Rh
Method: DFT, PBE
State: relaxed

The value obtained for the volume is 16.11 A^3/atom. Its size of the total moment is 0.693 μB per atom. The calculation puts the energy relative to the elements at 0.24 eV per formula unit. The value obtained for the density of states at the Fermi level is 4.4 states/eV/f.u. For the offset from the most stable computed form, the calculation gives 0.205 eV per atom.

The structure belongs to space group Pmmn (No. 59, origin choice 2); the cell edges are 2.7179, 8.1390 and 7.2836 Å and the angles 90.00°, 90.00° and 90.00°. The inequivalent atoms are Fe at (0.2500, 0.2500, 0.1214), Pt at (0.2500, 0.5235, 0.7093), Pt at (0.2500, 0.7500, 0.1767) and Rh at (0.2500, 0.2500, 0.4861).